Record 1
TcPt2W | PBE-GGA | relaxed

Cell: 4.7771 4.7771 4.7771 Å, 130.68 130.68 72.32°
Fractional positions:
Tc1 0.0000 0.0000 0.0000
Pt1 0.2500 0.7500 0.5000
Pt2 0.5000 0.5000 0.0000
W1 0.7500 0.2500 0.5000

Summary:
SG: No. 119
Energy of formation in meV per atom: -171
Energy relative to the lowest polymorph listed for this composition in meV/atom: 53


Record 2
Rb2MgAlSn2 | PBE-GGA | relaxed

Cell: 10.3885 10.3885 10.3885 Å, 142.53 53.95 142.63°
Fractional positions:
Rb1 0.1753 0.2392 0.4145
Rb2 0.3247 0.7392 0.0640
Rb3 0.6753 0.2608 0.9360
Rb4 0.8247 0.7608 0.5855
Mg1 0.2500 0.2500 0.0000
Mg2 0.7500 0.7500 0.0000
Al1 0.2500 0.7500 0.5000
Al2 0.7500 0.2500 0.5000
Sn1 0.0943 0.7314 0.8257
Sn2 0.4057 0.2314 0.6371
Sn3 0.5943 0.7686 0.3629
Sn4 0.9057 0.2686 0.1743

Summary:
SG: No. 72
Energy of formation in meV per atom: -174


Record 3
Zr2CoHIr | PBE-GGA | relaxed

Cell: 4.4752 4.4752 3.5285 Å, 90.00 90.00 90.00°
Fractional positions:
Zr1 0.0000 0.5000 0.0000
Zr2 0.5000 0.0000 0.0000
Co1 0.0000 0.0000 0.5000
H1 0.0000 0.0000 0.0000
Ir1 0.5000 0.5000 0.5000

Summary:
SG: No. 123
Energy relative to the lowest polymorph listed for this composition in meV/atom: 0


So what do the calculations give for magnetization? Going down the list: 0.00 0.00 0.79 Bohr magnetons per cell.